(1)
Fe3H2 after structural relaxation. Source: the Alexandria database, functional GGA-PBE.

## Properties
As for the energy above the most stable polymorph in this dataset: 0 meV per atom. The value obtained for the volume is 7.647 Å³/atom. The spin magnetization is 6.474 μB per formula unit. As for the space group: No. 167. The total energy is -6.3895 eV per atom.

abc: 4.4775 4.4775 5.1069
angles: 64.00 64.00 60.00
Closest atoms and distances in Å follow each position.
Fractional positions:
Fe (0.5863, 0.9137, 0.2500)  4 H 1.82-1.89
Fe (0.0863, 0.7500, 0.7500)  4 H 1.82-1.89
Fe (0.2500, 0.5863, 0.2500)  4 H 1.82-1.89
Fe (0.4137, 0.0863, 0.7500)  4 H 1.82-1.89
Fe (0.7500, 0.4137, 0.7500)  4 H 1.82-1.89
Fe (0.9137, 0.2500, 0.2500)  4 H 1.82-1.89
H (0.3366, 0.3366, 0.9902)  6 Fe 1.82-1.89
H (0.8366, 0.8366, 0.4902)  6 Fe 1.82-1.89
H (0.6634, 0.6634, 0.0098)  6 Fe 1.82-1.89
H (0.1634, 0.1634, 0.5098)  6 Fe 1.82-1.89

=====

(2)
LaRu2Pt after structural relaxation. Source: the Alexandria database, functional GGA-PBE.

## Properties
As for the energy above the most stable polymorph in this dataset: 280 meV per atom. The value obtained for the volume is 17.708 Å³/atom. The spin magnetization is 0.000 μB per formula unit. The calculation puts the calculated formation energy at 116 meV/atom. As for the space group: No. 65. The total energy is -7.2645 eV per atom.

abc: 4.9495 4.9495 3.0139
angles: 90.00 90.00 106.39
Closest atoms and distances in Å follow each position.
Fractional positions:
La (0.5000, 0.0000, 0.5000)  8 Ru 2.90, 2 Pt 2.97, 2 La 3.01
Ru (0.5000, 0.5000, 0.0000)  4 Pt 2.90, 4 La 2.90, 4 Ru 2.97-3.01
Ru (0.0000, 0.0000, 0.0000)  4 La 2.90, 4 Pt 2.90, 4 Ru 2.97-3.01
Pt (0.0000, 0.5000, 0.5000)  8 Ru 2.90, 2 La 2.97, 2 Pt 3.01